Here is crystalline CoPRhO2 at its relaxed geometry from Alexandria. Energies are from PBE+U.

Lattice parameters (Å, degrees): 3.7265 3.7265 5.2946 90.00 90.00 90.00
Last column: nearest neighbours and their distance in Å.
Space group P4/mmm (No. 123)
Symmetry-distinct sites (fractional):
Co 0.0000 0.0000 0.0000 x1  4 P 2.64
P 0.5000 0.5000 0.0000 x1  4 Co 2.64, 2 Rh 2.65
Rh 0.5000 0.5000 0.5000 x1  4 O 1.86
O 0.0000 0.5000 0.5000 x2  2 Rh 1.86

Calculated values
Energy above the lowest structure with this stoichiometry: 51 meV per atom
D(E_F): 0.55 states/eV/atom